{
  "formula": "K3CrNi2F9",
  "functional": "PBE+U",
  "state": "relaxed",
  "dft_energy_ev_per_cell": -68.35,
  "sg": "P-3m1 (164)",
  "n_ef_per_ev_atom": 0.00,
  "total_magnetization_mub_per_cell": 4.01,
  "cell": [[5.818, 0.000, 0.000], [-2.909, 5.039, 0.000], [0.000, 0.000, 7.149]],
  "species": ["Cr", "Ni", "Ni", "F", "F", "F", "F", "F", "F", "F", "F", "F", "K", "K", "K"],
  "frac_coords": [[0.000, 0.000, 0.500], [0.333, 0.667, 0.164], [0.667, 0.333, 0.836], [0.500, 0.000, 0.000], [0.000, 0.500, 0.000], [0.170, 0.830, 0.328], [0.830, 0.660, 0.672], [0.660, 0.830, 0.328], [0.500, 0.500, 0.000], [0.830, 0.170, 0.672], [0.170, 0.340, 0.328], [0.340, 0.170, 0.672], [0.667, 0.333, 0.330], [0.333, 0.667, 0.670], [0.000, 0.000, 0.000]]
}